Record 1
Entry from Alexandria: a relaxed Cs2PmBi2O6 crystal (PBE).

Cell lengths 6.5990, 6.5867, 8.8924 Å; angles 112.49, 90.00, 120.06 degrees
Element x y z (fractional)
Bi: 0.9294 0.8588 0.7762
Bi: 0.0706 0.1412 0.2238
O: 0.7278 0.4557 0.6567
Pm: 0.5000 0.0000 0.5000
O: 0.2722 0.5443 0.3433
O: 0.7844 0.0541 0.3364
Cs: 0.2312 0.4625 0.6848
O: 0.7303 0.9459 0.6636
O: 0.2156 0.9459 0.6636
O: 0.2697 0.0541 0.3364
Cs: 0.7688 0.5375 0.3152

Properties
Its space group is C2/m (12). For the formation energy without anion corrections, the calculation gives -1.6149 eV/atom.

***

Record 2
Entry from Alexandria: a relaxed Ce2PaNiS5 crystal (PBE).

Cell lengths 3.8246, 8.4040, 11.9635 Å; angles 90.00, 90.00, 103.15 degrees
Site moments in Bohr magnetons follow the coordinates.
Element x y z (fractional)
S: 0.4954 0.9907 0.7520  -0.03
Ce: 0.8878 0.7756 0.8486  0.84
S: 0.6559 0.3118 0.5219  -0.03
S: 0.6861 0.3722 0.8620  -0.02
S: 0.9825 0.9649 0.5102  -0.03
S: 0.0175 0.0351 0.0102  -0.03
S: 0.5046 0.0093 0.2520  -0.03
S: 0.3139 0.6278 0.3620  -0.02
S: 0.3441 0.6882 0.0219  -0.03
Pa: 0.8218 0.6436 0.5248  0.53
Ni: 0.5559 0.1118 0.9182  -0.08
S: 0.6950 0.3900 0.1882  -0.03
Ni: 0.4441 0.8882 0.4182  -0.08
Ce: 0.1122 0.2244 0.3486  0.84
Ce: 0.1169 0.2337 0.6981  0.82
Ce: 0.8831 0.7663 0.1981  0.82
Pa: 0.1782 0.3564 0.0248  0.53
S: 0.3050 0.6100 0.6882  -0.03

Properties
Its space group is Cmc2_1 (36). For the formation energy without anion corrections, the calculation gives -1.6688 eV/atom.

***

Record 3
Entry from Alexandria: a relaxed DyEr2NpN4 crystal (PBE).

Cell lengths 3.4395, 5.9449, 5.9424 Å; angles 109.00, 90.00, 90.00 degrees
Site moments in Bohr magnetons follow the coordinates.
Element x y z (fractional)
N: 0.5000 0.2447 0.2474  -0.09
N: 0.0000 0.2393 0.7560  -0.06
Er: 0.5000 0.0000 0.5000  0.06
N: 0.0000 0.7607 0.2440  -0.06
Np: 0.0000 0.0000 0.0000  3.00
N: 0.5000 0.7553 0.7526  -0.09
Er: 0.0000 0.5000 0.5000  0.09
Dy: 0.5000 0.5000 0.0000  0.07

Properties
Its space group is P2/m (10). For the formation energy without anion corrections, the calculation gives -1.5852 eV/atom.

***

Record 4
Entry from Alexandria: a relaxed CsTlTe2Se4 crystal (PBE).

Cell lengths 7.6446, 7.2479, 7.2479 Å; angles 83.59, 58.17, 58.17 degrees
Element x y z (fractional)
Te: 0.5000 0.2503 0.7497
Se: 0.4118 0.1200 0.4679
Se: 0.9998 0.8800 0.5321
Se: 0.5882 0.5321 0.8800
Se: 0.0002 0.4679 0.1200
Tl: 0.0000 0.5000 0.5000
Cs: 0.0000 0.0000 0.0000
Te: 0.5000 0.7497 0.2503

Properties
Its space group is I-42m (121). For the formation energy without anion corrections, the calculation gives -0.3122 eV/atom.

***

Record 5
Entry from Alexandria: a relaxed CsBiSeN2 crystal (PBE).

Cell lengths 4.3726, 4.3726, 6.4660 Å; angles 90.00, 90.00, 90.00 degrees
Element x y z (fractional)
Se: 0.0000 0.0000 0.5000
Bi: 0.5000 0.5000 0.5000
N: 0.0000 0.5000 0.0000
Cs: 0.0000 0.0000 0.0000
N: 0.5000 0.0000 0.0000

Properties
Its space group is P4/mmm (123). The calculation puts the relative energy among the computed polymorphs at 1.067 eV per atom. For the formation energy without anion corrections, the calculation gives 2.0644 eV/atom.

***

Record 6
Entry from Alexandria: a relaxed Ce2SmOs crystal (PBE).

Cell lengths 3.5216, 3.5216, 8.5327 Å; angles 90.00, 90.00, 90.00 degrees
Site moments in Bohr magnetons follow the coordinates.
Element x y z (fractional)
Ce: 0.0000 0.0000 0.1916  0.16
Sm: 0.5000 0.5000 0.5000  0.05
Os: 0.5000 0.5000 0.0000  -0.02
Ce: 0.0000 0.0000 0.8084  0.16

Properties
Its space group is P4/mmm (123). The calculation puts the energy of formation at 0.07 eV per formula unit. The calculation puts the relative energy among the computed polymorphs at 0.151 eV per atom.

***

Record 7
Entry from Alexandria: a relaxed Nd8Cu2Ag crystal (PBE).

Cell lengths 5.7182, 8.1256, 8.1256 Å; angles 114.80, 99.12, 99.12 degrees
Element x y z (fractional)
Nd: 0.9999 0.7663 0.2398
Nd: 0.4109 0.6758 0.9214
Nd: 0.5888 0.3303 0.0846
Nd: 0.1908 0.3931 0.3931
Nd: 0.5888 0.0846 0.3303
Nd: 0.8091 0.6137 0.6137
Cu: 0.4997 0.6954 0.3102
Nd: 0.4109 0.9214 0.6758
Nd: 0.9999 0.2398 0.7663
Ag: 0.0010 0.0034 0.0034
Cu: 0.4997 0.3102 0.6954

Properties
Its space group is Cm (8). The calculation puts the energy of formation at 0.24 eV per formula unit. The calculation puts the relative energy among the computed polymorphs at 0.095 eV per atom.

***

Record 8
Entry from Alexandria: a relaxed ThZn2Pb crystal (PBE).

Cell lengths 4.6112, 4.6112, 5.8216 Å; angles 66.67, 66.67, 60.00 degrees
Element x y z (fractional)
Th: 0.0000 0.0000 0.0000
Pb: 0.5000 0.5000 0.5000
Zn: 0.7651 0.7651 0.7047
Zn: 0.2349 0.2349 0.2953

Properties
Its space group is R-3m (166). The calculation puts the energy of formation at -0.31 eV per formula unit. The calculation puts the relative energy among the computed polymorphs at 0.099 eV per atom.

***

Record 9
Entry from Alexandria: a relaxed CuAu2Se crystal (PBE).

Cell lengths 2.8528, 2.8528, 8.9837 Å; angles 90.00, 90.00, 97.02 degrees
Element x y z (fractional)
Au: 0.0000 0.0000 0.0303
Se: 0.5000 0.5000 0.6966
Cu: 0.0000 0.0000 0.4931
Au: 0.5000 0.5000 0.2801

Properties
Its space group is Cmm2 (35). For the formation energy without anion corrections, the calculation gives 0.1437 eV/atom.

***

Record 10
Entry from Alexandria: a relaxed MnReAg2 crystal (PBE).

Cell lengths 2.8569, 2.8569, 7.7153 Å; angles 90.00, 90.00, 90.00 degrees
Element x y z (fractional)
Mn: 0.0000 0.0000 0.5339
Re: 0.5000 0.5000 0.7039
Ag: 0.0000 0.0000 0.9928
Ag: 0.5000 0.5000 0.2694

Properties
Its space group is P4mm (99). The calculation puts the energy of formation at 1.42 eV per formula unit. The calculation puts the relative energy among the computed polymorphs at 0.027 eV per atom.

***

Record 11
Entry from Alexandria: a relaxed ReBiBr2 crystal (PBE).

Cell lengths 11.5787, 11.5787, 11.5787 Å; angles 16.86, 16.86, 16.86 degrees
Element x y z (fractional)
Br: 0.1172 0.1172 0.1172
Br: 0.8828 0.8828 0.8828
Bi: 0.0000 0.0000 0.0000
Re: 0.5000 0.5000 0.5000

Properties
Its space group is R-3m (166). The calculation puts the relative energy among the computed polymorphs at 0.072 eV per atom. For the formation energy without anion corrections, the calculation gives 0.5914 eV/atom.

***

Record 12
Entry from Alexandria: a relaxed BiSeS6 crystal (PBE).

Cell lengths 4.4784, 7.8219, 7.1348 Å; angles 96.22, 75.23, 60.95 degrees
Element x y z (fractional)
S: 0.0456 0.0652 0.3911
Se: 0.0000 0.0000 0.0000
Bi: 0.5000 0.5000 0.5000
S: 0.9544 0.9348 0.6089
S: 0.8940 0.4922 0.7604
S: 0.1060 0.5078 0.2396
S: 0.5916 0.7339 0.0046
S: 0.4084 0.2661 0.9954

Properties
Its space group is P-1 (2). For the formation energy without anion corrections, the calculation gives 0.1475 eV/atom.

***

Record 13
Entry from Alexandria: a relaxed FeCu2Pd4 crystal (PBE).

Cell lengths 5.1699, 5.1699, 5.1699 Å; angles 109.15, 109.63, 109.63 degrees
Site moments in Bohr magnetons follow the coordinates.
Element x y z (fractional)
Fe: 0.0000 0.0000 0.0000  3.29
Pd: 0.5000 0.5000 0.5000  0.21
Pd: 0.0000 0.0000 0.5000  0.21
Pd: 0.5000 0.0000 0.0000  0.21
Cu: 0.5000 0.5000 0.0000  0.01
Cu: 0.5000 0.0000 0.5000  0.01
Pd: 0.0000 0.5000 0.0000  0.21

Properties
Its space group is I4/mmm (139). The calculation puts the energy of formation at 0.36 eV per formula unit. The calculation puts the relative energy among the computed polymorphs at 0.000 eV per atom.

***

Record 14
Entry from Alexandria: a relaxed Pm2SmDyTm2 crystal (PBE).

Cell lengths 5.6415, 9.7694, 7.0108 Å; angles 90.00, 90.00, 90.00 degrees
Element x y z (fractional)
Sm: 0.0000 0.0000 0.5000
Tm: 0.0000 0.3336 0.7500
Dy: 0.0000 0.0000 0.0000
Sm: 0.5000 0.5000 0.0000
Pm: 0.5000 0.8329 0.2486
Tm: 0.0000 0.6664 0.2500
Tm: 0.5000 0.1664 0.2500
Pm: 0.0000 0.3329 0.2514
Pm: 0.0000 0.6671 0.7486
Pm: 0.5000 0.1671 0.7514
Dy: 0.5000 0.5000 0.5000
Tm: 0.5000 0.8336 0.7500

Properties
Its space group is Pnnm (58). The calculation puts the energy of formation at 0.41 eV per formula unit.

***

Record 15
Entry from Alexandria: a relaxed Rb2GaSi2 crystal (PBE).

Cell lengths 5.4306, 5.4306, 7.6322 Å; angles 69.16, 69.16, 90.00 degrees
Site moments in Bohr magnetons follow the coordinates.
Element x y z (fractional)
Si: 0.5813 0.5813 0.8373  0.01
Ga: 0.0000 0.0000 0.0000  0.09
Si: 0.4187 0.4187 0.1627  0.01
Rb: 0.2500 0.7500 0.5000  0.01
Rb: 0.7500 0.2500 0.5000  0.01

Properties
Its space group is I4/mmm (139). The calculation puts the relative energy among the computed polymorphs at 0.253 eV per atom. For the formation energy without anion corrections, the calculation gives 0.4970 eV/atom.

***

Record 16
Entry from Alexandria: a relaxed TaPtAu crystal (PBE).

Cell lengths 4.9524, 4.9524, 4.9524 Å; angles 145.77, 131.95, 60.31 degrees
Element x y z (fractional)
Ta: 0.6698 0.6698 0.0000
Pt: 0.3292 0.3292 0.0000
Au: 0.0010 0.0010 0.0000

Properties
Its space group is Imm2 (44). The calculation puts the energy of formation at -1.30 eV per formula unit. The calculation puts the relative energy among the computed polymorphs at 0.000 eV per atom.

***

Record 17
Entry from Alexandria: a relaxed Na3SnAs crystal (PBE).

Cell lengths 7.2634, 7.2634, 7.4932 Å; angles 107.66, 120.22, 99.66 degrees
Element x y z (fractional)
Na: 0.8411 0.0263 0.2623
Na: 0.2359 0.4211 0.2623
Na: 0.7235 0.4506 0.1741
Na: 0.1589 0.9737 0.7377
Sn: 0.7311 0.0697 0.8008
Na: 0.2765 0.5494 0.8259
As: 0.6075 0.7768 0.3843
Sn: 0.2689 0.9303 0.1992
Na: 0.7641 0.5789 0.7377
As: 0.3925 0.2232 0.6157

Properties
Its space group is C2/m (12). The calculation puts the energy of formation at -1.03 eV per formula unit. The calculation puts the relative energy among the computed polymorphs at 0.000 eV per atom.

***

Record 18
Entry from Alexandria: a relaxed InGaSn2 crystal (PBE).

Cell lengths 4.7314, 4.6636, 4.6636 Å; angles 90.00, 90.00, 90.00 degrees
Element x y z (fractional)
Sn: 0.0000 0.5000 0.0000
Ga: 0.5000 0.0000 0.0000
Sn: 0.0000 0.0000 0.5000
In: 0.5000 0.5000 0.5000

Properties
Its space group is P4/mmm (123). The calculation puts the energy of formation at 0.16 eV per formula unit. The calculation puts the relative energy among the computed polymorphs at 0.004 eV per atom.

***

Record 19
Entry from Alexandria: a relaxed ZrTlRh2 crystal (PBE).

Cell lengths 8.6225, 8.6225, 8.6225 Å; angles 22.04, 22.04, 22.04 degrees
Element x y z (fractional)
Rh: 0.0021 0.0021 0.0021
Rh: 0.2542 0.2542 0.2542
Tl: 0.5071 0.5071 0.5071
Zr: 0.7366 0.7366 0.7366

Properties
Its space group is R3m (160). The calculation puts the energy of formation at 0.34 eV per formula unit.

***

Record 20
Entry from Alexandria: a relaxed Cs3Pu3HfS8 crystal (PBE).

Cell lengths 8.0750, 8.0762, 9.4147 Å; angles 115.42, 90.00, 119.99 degrees
Site moments in Bohr magnetons follow the coordinates.
Element x y z (fractional)
S: 0.7866 0.5732 0.3275  -0.07
S: 0.2134 0.4268 0.6725  -0.07
Hf: 0.0000 0.0000 0.5000  0.09
S: 0.7262 0.4525 0.6787  -0.11
Pu: 0.0000 0.5000 0.5000  5.04
Cs: 0.0000 0.5000 0.0000  0.00
Pu: 0.5000 0.0000 0.5000  5.04
S: 0.2542 0.0408 0.3275  -0.07
S: 0.7866 0.0408 0.3275  -0.07
S: 0.2134 0.9592 0.6725  -0.07
Cs: 0.5000 0.5000 0.0000  0.00
Cs: 0.0000 0.0000 0.0000  0.00
Pu: 0.5000 0.5000 0.5000  5.04
S: 0.7458 0.9592 0.6725  -0.07
S: 0.2738 0.5475 0.3213  -0.11

Properties
Its space group is R-3m (166). For the formation energy without anion corrections, the calculation gives -1.5773 eV/atom.